(1)
! BeTl2Mo | the Alexandria database | PBE | relaxed; values from VASP
! Formation enthalpy at 0 K, eV per atom: 0.6752
! Electronic total energy, eV per cell: -16.59
! N(E_F), states/eV/atom: 0.5380
! Calculated volume, Å³ per atom: 19.07
&SYSTEM
  ibrav = 0, nat = 4, ntyp = 3
/
ATOMIC_SPECIES
Tl 204.38 Tl.upf
Be 9.01 Be.upf
Mo 95.94 Mo.upf
ATOMIC_POSITIONS crystal
Tl 0.2630 0.7630 0.5001
Tl 0.9878 0.9878 0.9997
Be 0.5428 0.5428 0.0000
Mo 0.7065 0.2064 0.5002
CELL_PARAMETERS angstrom
5.7244 -0.0015 -0.0029
3.0197 4.8627 0.0024
-4.1340 -2.8596 2.7393

=====

(2)
! BeTl2Mo | the Alexandria database | PBE | relaxed; values from VASP
! Formation enthalpy at 0 K, eV per atom: 0.5640
! Electronic total energy, eV per cell: -17.03
! N(E_F), states/eV/atom: 0.9820
! Calculated volume, Å³ per atom: 20.25
&SYSTEM
  ibrav = 0, nat = 4, ntyp = 3
/
ATOMIC_SPECIES
Be 9.01 Be.upf
Tl 204.38 Tl.upf
Mo 95.94 Mo.upf
ATOMIC_POSITIONS crystal
Be 0.0000 0.0000 0.5886
Tl 0.0000 0.0000 0.9445
Tl 0.5000 0.5000 0.2922
Mo 0.5000 0.5000 0.6746
CELL_PARAMETERS angstrom
-3.0325 -0.7972 -0.9387
-0.3240 -1.8923 2.6538
-2.7422 5.8845 3.8612

=====

(3)
! BeTl2Mo | the Alexandria database | PBE | relaxed; values from VASP
! Formation enthalpy at 0 K, eV per atom: 0.8940
! Electronic total energy, eV per cell: -15.71
! N(E_F), states/eV/atom: 0.8641
! Calculated volume, Å³ per atom: 18.87
&SYSTEM
  ibrav = 0, nat = 4, ntyp = 3
/
ATOMIC_SPECIES
Mo 95.94 Mo.upf
Tl 204.38 Tl.upf
Be 9.01 Be.upf
ATOMIC_POSITIONS crystal
Mo 0.0000 0.5000 0.5000
Tl 0.5000 0.5000 0.0000
Tl 0.0000 0.0000 0.0000
Be 0.5000 0.0000 0.5000
CELL_PARAMETERS angstrom
5.0859 -0.0206 0.0000
-1.6858 4.7984 0.0000
0.0000 0.0000 3.0979

=====

(4)
! TmBe17Mo | the Alexandria database | PBE | relaxed; values from VASP
! Formation enthalpy at 0 K, eV per atom: -0.1384
! Electronic total energy, eV per cell: -81.28
! N(E_F), states/eV/atom: 0.1227
! Calculated volume, Å³ per atom: 9.19
&SYSTEM
  ibrav = 0, nat = 19, ntyp = 3
/
ATOMIC_SPECIES
Be 9.01 Be.upf
Tm 168.93 Tm.upf
Mo 95.94 Mo.upf
ATOMIC_POSITIONS crystal
Be 0.2872 0.0042 0.7078
Be 0.2872 0.7078 0.0042
Be 0.0017 0.4997 0.0017
Be 0.0042 0.2872 0.7078
Be 0.3401 0.3401 0.8448
Be 0.9076 0.9076 0.9076
Be 0.1016 0.1016 0.1016
Be 0.7078 0.2872 0.0042
Be 0.6512 0.1639 0.6512
Be 0.3401 0.8448 0.3401
Be 0.0042 0.7078 0.2872
Be 0.1639 0.6512 0.6512
Be 0.4997 0.0017 0.0017
Be 0.7078 0.0042 0.2872
Be 0.8448 0.3401 0.3401
Be 0.0017 0.0017 0.4997
Be 0.6512 0.6512 0.1639
Tm 0.6609 0.6609 0.6609
Mo 0.3368 0.3368 0.3368
CELL_PARAMETERS angstrom
5.5890 0.0122 0.6731
0.5983 5.5569 0.6731
0.0136 0.0122 5.6294

=====

(5)
! UBeMo | the Alexandria database | PBE | relaxed; values from VASP
! Formation enthalpy at 0 K, eV per atom: 0.1501
! Electronic total energy, eV per cell: -50.79
! N(E_F), states/eV/atom: 1.4319
! Calculated volume, Å³ per atom: 15.42
&SYSTEM
  ibrav = 0, nat = 6, ntyp = 3
/
ATOMIC_SPECIES
Mo 95.94 Mo.upf
Be 9.01 Be.upf
U 238.03 U.upf
ATOMIC_POSITIONS crystal
Mo 0.6586 0.0461 0.2748
Mo 0.7205 0.6049 0.1583
Be 0.9645 0.7692 0.8296
Be 0.4149 0.8814 0.6037
U 0.4660 0.4144 0.5378
U 0.9133 0.2364 0.8954
CELL_PARAMETERS angstrom
-1.4424 -2.2352 -1.3299
2.0598 -5.1630 -0.2054
-1.7735 -3.6646 5.8110

=====

(6)
! Be2VMo | the Alexandria database | PBE | relaxed; values from VASP
! Formation enthalpy at 0 K, eV per atom: 0.3523
! Electronic total energy, eV per cell: -51.99
! N(E_F), states/eV/atom: 0.8027
! Calculated volume, Å³ per atom: 12.08
&SYSTEM
  ibrav = 0, nat = 8, ntyp = 3
/
ATOMIC_SPECIES
Be 9.01 Be.upf
V 50.94 V.upf
Mo 95.94 Mo.upf
ATOMIC_POSITIONS crystal
Be 0.8750 0.8707 0.7500
Be 0.3750 0.3793 0.7500
Be 0.6207 0.1250 0.2500
Be 0.1293 0.6250 0.2500
V 0.5000 0.5000 0.0000
V 0.2500 0.7500 0.5000
Mo 0.0000 0.0000 0.0000
Mo 0.7500 0.2500 0.5000
CELL_PARAMETERS angstrom
-0.0089 -1.5798 6.0783
-3.9736 -4.7056 -1.2288
-0.0934 -4.6442 2.0373

=====

(7)
! BeVMo3 | the Alexandria database | PBE | relaxed; values from VASP
! Formation enthalpy at 0 K, eV per atom: 0.7859
! Electronic total energy, eV per cell: -41.41
! N(E_F), states/eV/atom: 1.2107
! Calculated volume, Å³ per atom: 15.06
&SYSTEM
  ibrav = 0, nat = 5, ntyp = 3
/
ATOMIC_SPECIES
Mo 95.94 Mo.upf
V 50.94 V.upf
Be 9.01 Be.upf
ATOMIC_POSITIONS crystal
Mo 0.5000 0.0000 0.0000
Mo 0.0000 0.0000 0.5000
Mo 0.0000 0.5000 0.0000
V 0.5000 0.5000 0.5000
Be 0.0000 0.0000 0.0000
CELL_PARAMETERS angstrom
4.2230 0.0000 0.0000
0.0000 4.2230 0.0000
0.0000 0.0000 4.2230

=====

(8)
! Be2VMo | the Alexandria database | PBE | relaxed; values from VASP
! Formation enthalpy at 0 K, eV per atom: -0.0518
! Electronic total energy, eV per cell: -27.61
! N(E_F), states/eV/atom: 0.4270
! Calculated volume, Å³ per atom: 11.53
&SYSTEM
  ibrav = 0, nat = 4, ntyp = 3
/
ATOMIC_SPECIES
Be 9.01 Be.upf
V 50.94 V.upf
Mo 95.94 Mo.upf
ATOMIC_POSITIONS crystal
Be 0.0000 0.0000 0.5000
Be 0.0000 0.5000 0.0000
V 0.5000 0.0000 0.0000
Mo 0.5000 0.5000 0.5000
CELL_PARAMETERS angstrom
-3.0844 0.9955 1.2219
-1.6569 -2.2270 -2.3682
0.1050 -2.6933 2.4592

=====

(9)
! BeV5Mo | the Alexandria database | PBE | relaxed; values from VASP
! Formation enthalpy at 0 K, eV per atom: 0.2924
! Electronic total energy, eV per cell: -58.10
! N(E_F), states/eV/atom: 0.9839
! Calculated volume, Å³ per atom: 14.14
&SYSTEM
  ibrav = 0, nat = 7, ntyp = 3
/
ATOMIC_SPECIES
Be 9.01 Be.upf
V 50.94 V.upf
Mo 95.94 Mo.upf
ATOMIC_POSITIONS crystal
Be 0.5000 0.5000 0.5000
V 0.0000 0.5000 0.2501
V 0.5000 0.0000 0.7499
V 0.0000 0.5000 0.7499
V 0.0000 0.0000 0.5000
V 0.5000 0.0000 0.2501
Mo 0.0000 0.0000 0.0000
CELL_PARAMETERS angstrom
-0.3437 3.9592 0.3928
-3.7498 -0.1984 -1.3590
-2.0644 -0.7552 5.8065

=====

(10)
! Be2VMo | the Alexandria database | PBE | relaxed; values from VASP
! Formation enthalpy at 0 K, eV per atom: 0.0946
! Electronic total energy, eV per cell: -27.02
! N(E_F), states/eV/atom: 0.5762
! Calculated volume, Å³ per atom: 11.46
&SYSTEM
  ibrav = 0, nat = 4, ntyp = 3
/
ATOMIC_SPECIES
Be 9.01 Be.upf
V 50.94 V.upf
Mo 95.94 Mo.upf
ATOMIC_POSITIONS crystal
Be 0.7500 0.7500 0.7500
Be 0.2500 0.2500 0.2500
V 0.0000 0.0000 0.0000
Mo 0.5000 0.5000 0.5000
CELL_PARAMETERS angstrom
-2.0260 0.3055 3.4549
-3.7279 -1.4695 0.2788
-0.7063 -3.2785 2.2107

=====

(11)
! Be9V2Mo | the Alexandria database | PBE | relaxed; values from VASP
! Formation enthalpy at 0 K, eV per atom: -0.2422
! Electronic total energy, eV per cell: -65.51
! N(E_F), states/eV/atom: 0.3140
! Calculated volume, Å³ per atom: 9.27
&SYSTEM
  ibrav = 0, nat = 12, ntyp = 3
/
ATOMIC_SPECIES
Be 9.01 Be.upf
V 50.94 V.upf
Mo 95.94 Mo.upf
ATOMIC_POSITIONS crystal
Be 0.5000 0.5000 0.5000
Be 0.4148 0.9222 0.2482
Be 0.6659 0.6659 0.0023
Be 0.4148 0.4148 0.2482
Be 0.0778 0.5852 0.7518
Be 0.3341 0.3341 0.9977
Be 0.9222 0.4148 0.2482
Be 0.5852 0.0778 0.7518
Be 0.5852 0.5852 0.7518
V 0.8572 0.8572 0.4283
V 0.1428 0.1428 0.5717
Mo 0.0000 0.0000 0.0000
CELL_PARAMETERS angstrom
4.3442 0.0000 0.0000
2.1721 3.7622 0.0000
2.1721 1.2541 6.8062

=====

(12)
! Be2VMo | the Alexandria database | PBE | relaxed; values from VASP
! Formation enthalpy at 0 K, eV per atom: 0.3453
! Electronic total energy, eV per cell: -26.02
! N(E_F), states/eV/atom: 0.4805
! Calculated volume, Å³ per atom: 11.92
&SYSTEM
  ibrav = 0, nat = 4, ntyp = 3
/
ATOMIC_SPECIES
Mo 95.94 Mo.upf
V 50.94 V.upf
Be 9.01 Be.upf
ATOMIC_POSITIONS crystal
Mo 0.5000 0.5000 0.5000
V 0.0000 0.0000 0.0000
Be 0.2527 0.2527 0.2418
Be 0.7473 0.7473 0.7582
CELL_PARAMETERS angstrom
-2.6393 -1.1451 1.6642
0.1807 -2.9033 1.6079
0.7378 1.0172 5.1890

=====

(13)
! Be2VMo2 | the Alexandria database | PBE | relaxed; values from VASP
! Formation enthalpy at 0 K, eV per atom: -0.2369
! Electronic total energy, eV per cell: -78.84
! N(E_F), states/eV/atom: 0.3634
! Calculated volume, Å³ per atom: 12.05
&SYSTEM
  ibrav = 0, nat = 10, ntyp = 3
/
ATOMIC_SPECIES
Mo 95.94 Mo.upf
Be 9.01 Be.upf
V 50.94 V.upf
ATOMIC_POSITIONS crystal
Mo 0.3219 0.1781 0.5000
Mo 0.1781 0.6781 0.5000
Mo 0.6781 0.8219 0.5000
Mo 0.8219 0.3219 0.5000
Be 0.6177 0.1177 0.0000
Be 0.3823 0.8823 0.0000
Be 0.8823 0.6177 0.0000
Be 0.1177 0.3823 0.0000
V 0.5000 0.5000 0.0000
V 0.0000 0.0000 0.0000
CELL_PARAMETERS angstrom
-4.2946 1.1478 -4.2175
2.6326 -4.0407 -3.7803
-1.8271 -2.3362 1.2247

=====

(14)
! Be8V3Mo | the Alexandria database | PBE | relaxed; values from VASP
! Formation enthalpy at 0 K, eV per atom: -0.2609
! Electronic total energy, eV per cell: -71.13
! N(E_F), states/eV/atom: 0.6187
! Calculated volume, Å³ per atom: 9.87
&SYSTEM
  ibrav = 0, nat = 12, ntyp = 3
/
ATOMIC_SPECIES
Be 9.01 Be.upf
Mo 95.94 Mo.upf
V 50.94 V.upf
ATOMIC_POSITIONS crystal
Be 0.1623 0.3247 0.2482
Be 0.5043 0.0086 0.7517
Be 0.3333 0.6667 0.0017
Be 0.5043 0.4957 0.7517
Be 0.1623 0.8377 0.2482
Be 0.3333 0.6667 0.4986
Be 0.6753 0.8377 0.2482
Be 0.9914 0.4957 0.7517
Mo 0.0000 0.0000 0.5653
V 0.0000 0.0000 0.9342
V 0.6667 0.3333 0.4327
V 0.6667 0.3333 0.0678
CELL_PARAMETERS angstrom
4.3855 0.0000 0.0000
-2.1928 3.7980 0.0000
0.0000 0.0000 7.1105

=====

(15)
! BeVMo3 | the Alexandria database | PBE | relaxed; values from VASP
! Formation enthalpy at 0 K, eV per atom: 1.5330
! Electronic total energy, eV per cell: -37.67
! N(E_F), states/eV/atom: 1.1154
! Calculated volume, Å³ per atom: 18.07
&SYSTEM
  ibrav = 0, nat = 5, ntyp = 3
/
ATOMIC_SPECIES
Mo 95.94 Mo.upf
Be 9.01 Be.upf
V 50.94 V.upf
ATOMIC_POSITIONS crystal
Mo 0.5000 0.0000 0.0000
Mo 0.0000 0.5000 0.0000
Mo 0.0000 0.0000 0.5000
Be 0.5000 0.5000 0.5000
V 0.0000 0.0000 0.0000
CELL_PARAMETERS angstrom
-0.6345 -2.2095 -3.8538
4.4361 -0.5208 -0.4318
-0.2346 -3.8708 2.2579

=====

(16)
! Be9VMo2 | the Alexandria database | PBE | relaxed; values from VASP
! Formation enthalpy at 0 K, eV per atom: -0.2283
! Electronic total energy, eV per cell: -67.06
! N(E_F), states/eV/atom: 0.2799
! Calculated volume, Å³ per atom: 9.62
&SYSTEM
  ibrav = 0, nat = 12, ntyp = 3
/
ATOMIC_SPECIES
Be 9.01 Be.upf
Mo 95.94 Mo.upf
V 50.94 V.upf
ATOMIC_POSITIONS crystal
Be 0.6658 0.6658 0.0026
Be 0.3342 0.3342 0.9974
Be 0.5835 0.0776 0.7554
Be 0.0776 0.5835 0.7554
Be 0.4165 0.9224 0.2446
Be 0.5835 0.5835 0.7554
Be 0.9224 0.4165 0.2446
Be 0.5000 0.5000 0.5000
Be 0.4165 0.4165 0.2446
Mo 0.1439 0.1439 0.5683
Mo 0.8561 0.8561 0.4317
V 0.0000 0.0000 0.0000
CELL_PARAMETERS angstrom
4.4008 0.0000 0.0000
2.2004 3.8112 0.0000
2.2004 1.2704 6.8864

=====

(17)
! BeV4Mo2 | the Alexandria database | PBE | relaxed; values from VASP
! Formation enthalpy at 0 K, eV per atom: 0.7347
! Electronic total energy, eV per cell: -56.72
! N(E_F), states/eV/atom: 0.8572
! Calculated volume, Å³ per atom: 14.94
&SYSTEM
  ibrav = 0, nat = 7, ntyp = 3
/
ATOMIC_SPECIES
V 50.94 V.upf
Be 9.01 Be.upf
Mo 95.94 Mo.upf
ATOMIC_POSITIONS crystal
V 0.1820 0.1820 0.6359
V 0.5000 0.0000 0.0000
V 0.8180 0.8180 0.3641
V 0.0000 0.5000 0.0000
Be 0.0000 0.0000 0.0000
Mo 0.6258 0.6258 0.7484
Mo 0.3742 0.3742 0.2516
CELL_PARAMETERS angstrom
4.1293 0.0000 0.0000
0.0000 4.1293 0.0000
2.0646 2.0646 6.1326

=====

(18)
! Be17VMo | the Alexandria database | PBE | relaxed; values from VASP
! Formation enthalpy at 0 K, eV per atom: -0.1481
! Electronic total energy, eV per cell: -86.11
! N(E_F), states/eV/atom: 0.1665
! Calculated volume, Å³ per atom: 8.48
&SYSTEM
  ibrav = 0, nat = 19, ntyp = 3
/
ATOMIC_SPECIES
Be 9.01 Be.upf
Mo 95.94 Mo.upf
V 50.94 V.upf
ATOMIC_POSITIONS crystal
Be 0.4991 0.0000 0.0000
Be 0.0000 0.4991 0.0000
Be 0.1620 0.6504 0.6504
Be 0.6990 0.3003 0.0009
Be 0.6504 0.1620 0.6504
Be 0.0009 0.3003 0.6990
Be 0.6990 0.0009 0.3003
Be 0.0009 0.6990 0.3003
Be 0.8394 0.3491 0.3491
Be 0.3491 0.8394 0.3491
Be 0.3491 0.3491 0.8394
Be 0.3003 0.0009 0.6990
Be 0.1009 0.1009 0.1009
Be 0.6504 0.6504 0.1620
Be 0.8999 0.8999 0.8999
Be 0.0000 0.0000 0.4991
Be 0.3003 0.6990 0.0009
Mo 0.6606 0.6606 0.6606
V 0.3387 0.3387 0.3387
CELL_PARAMETERS angstrom
5.4400 0.0113 0.6545
0.5818 5.4088 0.6545
0.0126 0.0113 5.4792

=====

(19)
! Be3VMo | the Alexandria database | PBE | relaxed; values from VASP
! Formation enthalpy at 0 K, eV per atom: 1.2476
! Electronic total energy, eV per cell: -24.89
! N(E_F), states/eV/atom: 1.4305
! Calculated volume, Å³ per atom: 14.63
&SYSTEM
  ibrav = 0, nat = 5, ntyp = 3
/
ATOMIC_SPECIES
Mo 95.94 Mo.upf
V 50.94 V.upf
Be 9.01 Be.upf
ATOMIC_POSITIONS crystal
Mo 0.0000 0.0000 0.0000
V 0.5000 0.5000 0.5000
Be 0.5000 0.0000 0.0000
Be 0.0000 0.0000 0.5000
Be 0.0000 0.5000 0.0000
CELL_PARAMETERS angstrom
4.1824 0.0000 0.0000
0.0000 4.1824 0.0000
0.0000 0.0000 4.1824

=====

(20)
! Be3VMo | the Alexandria database | PBE | relaxed; values from VASP
! Formation enthalpy at 0 K, eV per atom: 1.3119
! Electronic total energy, eV per cell: -24.57
! N(E_F), states/eV/atom: 0.8428
! Calculated volume, Å³ per atom: 12.44
&SYSTEM
  ibrav = 0, nat = 5, ntyp = 3
/
ATOMIC_SPECIES
Be 9.01 Be.upf
V 50.94 V.upf
Mo 95.94 Mo.upf
ATOMIC_POSITIONS crystal
Be 0.5000 0.0000 0.0000
Be 0.0000 0.5000 0.0000
Be 0.0000 0.0000 0.5000
V 0.0000 0.0000 0.0000
Mo 0.5000 0.5000 0.5000
CELL_PARAMETERS angstrom
3.9616 0.0000 0.0000
0.0000 3.9616 0.0000
0.0000 0.0000 3.9616